No. 1
# Ca2SiSe4

Ca2SiSe4 after structural relaxation (GGA-PBE, the Alexandria database).

The calculation puts the uncorrected formation energy at -9.01 eV/f.u. Its density of states at the Fermi level is 0.0 states/eV/f.u. The value obtained for the excess energy over the best structure of this formula in the dataset is 0.44 eV per formula unit. Its magnetization is 0.00 μB/atom.

The structure belongs to space group P2_1/m (No. 11); the cell edges are 6.8022, 6.9796 and 8.0462 Å and the angles 90.00°, 107.28° and 90.00°. The inequivalent atoms are Ca at (0.2305, 0.2500, 0.0570), Ca at (0.2385, 0.2500, 0.5591), Si at (0.2379, 0.7500, 0.8079), Se at (0.0086, 0.0006, 0.7477), Se at (0.4186, 0.7500, 0.0941) and Se at (0.4247, 0.7500, 0.6154).

No. 2
# Pa2PdO

Pa2PdO after structural relaxation (GGA-PBE, the Alexandria database).

The calculation puts the uncorrected formation energy at -4.18 eV/f.u. Its density of states at the Fermi level is 6.3 states/eV/f.u. Its magnetization is 0.00 μB/atom.

The structure belongs to space group R-3m (No. 166, hexagonal axes); the cell edges are 3.1750, 3.1750 and 25.9545 Å and the angles 90.00°, 90.00° and 120.00°. The inequivalent atoms are Pa at (0.0000, 0.0000, 0.1034), Pd at (0.0000, 0.0000, 0.0000) and O at (0.0000, 0.0000, 0.5000).

It is found that the total DFT energy (no corrections) values, taken in the order of the records, are -4.625, -8.331 eV/atom.